DFT (GGA-PBEsol) results for a relaxed structure of Fe3O4.

Properties
The calculated density is 6108 kg/m³. For the total magnetization, the calculation gives 1.426 μB/atom. The formation energy from raw total energies comes out at -1066 meV/atom. For the density of states at the Fermi level, the calculation gives 25.4 states/eV/cell. Its total DFT energy (no corrections) is -7.908 eV/atom.

a b c (Å): 2.7839 9.3218 9.7026
angles (deg): 90.00 90.00 90.00
Space group Cmc2_1 (No. 36)
Unique sites:
Fe  0.0000  0.1250  0.0000 (multiplicity 4)
Fe  0.0000  0.1327  0.6492 (multiplicity 4)
Fe  0.0000  0.3712  0.8264 (multiplicity 4)
O  0.0000  0.0325  0.8265 (multiplicity 4)
O  0.0000  0.2095  0.1821 (multiplicity 4)
O  0.0000  0.2364  0.4551 (multiplicity 4)
O  0.0000  0.4991  0.0577 (multiplicity 4)